[1]
Entry from Alexandria: a geometry-optimized La3Pm3PrZn2 structure (PBE).

The structure in POSCAR format:
```
La3Pm3PrZn2
1.0
3.739 0.000 0.000
0.000 9.270 0.000
0.000 -4.635 8.028
Zn Pm Pr La
2 3 1 3
direct
0.500 0.667 0.333 Zn
0.500 0.333 0.667 Zn
0.000 0.614 0.614 Pm
0.000 0.386 0.000 Pm
0.000 0.000 0.386 Pm
0.000 0.000 0.000 Pr
0.500 0.692 0.000 La
0.500 0.000 0.692 La
0.500 0.308 0.308 La
```

SG	P-62m
formation enthalpy at 0 K	-0.0169	eV per atom

---

[2]
Entry from Alexandria: a geometry-optimized LaPmPt2 structure (PBE).

The structure in POSCAR format:
```
LaPmPt2
1.0
-1.006 -3.352 -0.908
0.167 -0.991 3.473
-6.980 1.860 0.866
Pt Pm La
2 1 1
direct
0.000 0.000 0.240 Pt
0.000 0.000 0.760 Pt
0.500 0.500 0.000 Pm
0.500 0.500 0.500 La
```

SG	P4/mmm
formation enthalpy at 0 K	-1.0781	eV per atom

---

[3]
Entry from Alexandria: a geometry-optimized LaPm3Pt3 structure (PBE).

The structure in POSCAR format:
```
LaPm3Pt3
1.0
5.867 0.000 0.000
0.000 11.846 0.000
0.000 0.000 11.846
Pt Pm La
12 12 4
direct
0.500 0.877 0.372 Pt
0.000 0.879 0.121 Pt
0.500 0.621 0.621 Pt
0.000 0.872 0.623 Pt
0.500 0.123 0.628 Pt
0.000 0.121 0.879 Pt
0.000 0.623 0.872 Pt
0.000 0.128 0.377 Pt
0.500 0.372 0.877 Pt
0.000 0.377 0.128 Pt
0.500 0.628 0.123 Pt
0.500 0.379 0.379 Pt
0.500 0.616 0.872 Pm
0.000 0.116 0.628 Pm
0.000 0.630 0.630 Pm
0.000 0.884 0.372 Pm
0.000 0.370 0.370 Pm
0.500 0.130 0.870 Pm
0.000 0.628 0.116 Pm
0.500 0.128 0.384 Pm
0.500 0.870 0.130 Pm
0.500 0.384 0.128 Pm
0.000 0.372 0.884 Pm
0.500 0.872 0.616 Pm
0.000 0.873 0.873 La
0.500 0.627 0.373 La
0.000 0.127 0.127 La
0.500 0.373 0.627 La
```

SG	P4_2/mnm
formation enthalpy at 0 K	-0.9677	eV per atom

---

[4]
Entry from Alexandria: a geometry-optimized La2PmPt structure (PBE).

The structure in POSCAR format:
```
La2PmPt
1.0
-5.914 -2.899 0.998
2.695 -3.484 5.849
-2.846 7.872 6.000
Pm La Pt
4 8 4
direct
0.850 0.028 0.250 Pm
0.650 0.528 0.250 Pm
0.150 0.972 0.750 Pm
0.350 0.472 0.750 Pm
0.172 0.676 0.438 La
0.172 0.676 0.062 La
0.672 0.824 0.562 La
0.328 0.176 0.062 La
0.672 0.824 0.938 La
0.828 0.324 0.562 La
0.328 0.176 0.438 La
0.828 0.324 0.938 La
0.931 0.621 0.750 Pt
0.569 0.121 0.750 Pt
0.069 0.379 0.250 Pt
0.431 0.879 0.250 Pt
```

SG	Pnma
formation enthalpy at 0 K	-0.6368	eV per atom

---

The highest formation enthalpy at 0 K belongs to which entry?
La3Pm3PrZn2